# 1
An optimized crystal structure of Hf2TiBeCl. Source: the Alexandria database, functional PBE.

extended XYZ file:
```
5
Lattice="4.6941 0.0000 0.0000 0.0000 4.3556 0.0000 0.0000 0.0000 4.6941" Properties=species:S:1:pos:R:3 pbc="T T T"
Be 2.3470 2.1778 2.3470
Cl 0.0000 0.0000 0.0000
Hf 0.0000 0.0000 2.3470
Hf 2.3470 0.0000 0.0000
Ti 0.0000 2.1778 0.0000
```

Properties
Symmetry: P4/mmm, No. 123
N(E_F) in states/eV/cell: 4.301
Density in g cm⁻³: 7.77
Total magnetic moment in μB/f.u.: 0.00
Formation energy (no corrections) in kcal/mol of atoms: 9.6

---

# 2
An optimized crystal structure of RbTaZn2Cd. Source: the Alexandria database, functional PBE.

extended XYZ file:
```
5
Lattice="-1.7398 4.9846 -0.3119 -4.6329 -1.4409 2.8151 2.4214 1.1308 4.5639" Properties=species:S:1:pos:R:3 pbc="T T T"
Zn 1.2107 0.5654 2.2819
Zn -0.8699 2.4923 -0.1560
Cd -2.3165 -0.7205 1.4076
Rb -1.9756 2.3373 3.5335
Ta 0.0000 0.0000 0.0000
```

Properties
Symmetry: P4/mmm, No. 123
N(E_F) in states/eV/cell: 5.096
Density in g cm⁻³: 5.39
Total magnetic moment in μB/f.u.: 2.53
ΔE_f in eV per atom: 0.71